TiBTe2F | PBE-GGA | optimized geometry

Cell lengths 5.3846, 3.8671, 5.3846 Å; angles 90.00, 90.00, 90.00 degrees
Element x y z (fractional)
F (0.0000, 0.5000, 0.0000)
Ti (0.0000, 0.0000, 0.0000)
B (0.5000, 0.5000, 0.5000)
Te (0.0000, 0.0000, 0.5000)
Te (0.5000, 0.0000, 0.0000)

Computed properties:
Crystal system: tetragonal
Energy relative to the elements, uncorrected (meV per atom): -171
Total magnetization (μB per cell): 0.00
SG: No. 123
Energy (eV/cell): -23.6